Entry 1:
BaScCu2 | PBE | optimized geometry

Cell: 8.0022 4.6192 6.3108 Å, 90.00 115.21 90.00°
With the nearest neighbours (Å) after each atom.
Positions (direct):
Ba (0.0000, 0.0000, 0.0000)  2 Cu 3.24
Ba (0.5000, 0.5000, 0.0000)  2 Cu 3.24
Sc (0.0000, 0.5000, 0.5000)  6 Cu 2.69-2.70
Sc (0.5000, 0.0000, 0.5000)  6 Cu 2.69-2.70
Cu (0.1894, 0.0000, 0.5675)  3 Sc 2.69-2.70, 3 Cu 2.78
Cu (0.3106, 0.5000, 0.4325)  3 Sc 2.69-2.70, 3 Cu 2.78
Cu (0.6894, 0.5000, 0.5675)  3 Sc 2.69-2.70, 3 Cu 2.78
Cu (0.8106, 0.0000, 0.4325)  3 Sc 2.69-2.70, 3 Cu 2.78

Results
formation enthalpy at 0 K	-0.025	eV per atom
N(E_F)	7.57	states/eV/cell
energy above the most stable polymorph in this dataset	0.016	eV/atom


Entry 2:
BaRu3 | PBE | optimized geometry

Cell: 5.4347 9.6163 5.9571 Å, 90.00 90.00 90.00°
With the nearest neighbours (Å) after each atom.
Positions (direct):
Ba (0.0222, 0.2500, 0.1293)  7 Ru 2.82-3.16, 2 Ba 3.07
Ba (0.4778, 0.7500, 0.6293)  7 Ru 2.82-3.16, 2 Ba 3.07
Ba (0.5222, 0.2500, 0.3707)  7 Ru 2.82-3.16, 2 Ba 3.07
Ba (0.9778, 0.7500, 0.8707)  7 Ru 2.82-3.16, 2 Ba 3.07
Ru (0.0703, 0.2500, 0.6576)  4 Ru 2.51-2.78
Ru (0.1771, 0.5301, 0.3525)  3 Ru 2.51-2.78
Ru (0.1771, 0.9699, 0.3525)  3 Ru 2.51-2.78
Ru (0.3229, 0.0301, 0.8525)  3 Ru 2.51-2.78
Ru (0.3229, 0.4699, 0.8525)  3 Ru 2.51-2.78
Ru (0.4297, 0.7500, 0.1576)  4 Ru 2.51-2.78
Ru (0.5703, 0.2500, 0.8424)  4 Ru 2.51-2.78
Ru (0.6771, 0.5301, 0.1475)  3 Ru 2.51-2.78
Ru (0.6771, 0.9699, 0.1475)  3 Ru 2.51-2.78
Ru (0.8229, 0.0301, 0.6475)  3 Ru 2.51-2.78
Ru (0.8229, 0.4699, 0.6475)  3 Ru 2.51-2.78
Ru (0.9297, 0.7500, 0.3424)  4 Ru 2.51-2.78

Results
formation enthalpy at 0 K	0.872	eV per atom
N(E_F)	23.84	states/eV/cell


Entry 3:
AcNdIr | PBE | optimized geometry

Cell: 6.7204 4.3174 7.4753 Å, 90.00 90.88 90.00°
With the nearest neighbours (Å) after each atom.
Positions (direct):
Ac (0.2292, 0.2500, 0.0930)  3 Ir 2.95-2.97
Ac (0.7708, 0.7500, 0.9070)  3 Ir 2.95-2.97
Nd (0.2191, 0.7500, 0.5800)  3 Ir 2.86-2.87
Nd (0.7809, 0.2500, 0.4200)  3 Ir 2.86-2.87
Ir (0.0087, 0.2500, 0.7459)  3 Nd 2.86-2.87, 3 Ac 2.95-2.97
Ir (0.9913, 0.7500, 0.2541)  3 Nd 2.86-2.87, 3 Ac 2.95-2.97

Results
formation enthalpy at 0 K	-0.530	eV per atom
N(E_F)	4.66	states/eV/cell
energy above the most stable polymorph in this dataset	0.008	eV/atom


Entry 4:
LiP2Au | PBE | optimized geometry

Cell: 3.5064 3.5064 5.1047 Å, 90.00 90.00 90.00°
With the nearest neighbours (Å) after each atom.
Positions (direct):
Li (0.0000, 0.0000, 0.0000)  2 P 2.43-2.68, 4 Au 2.59
P (0.0000, 0.0000, 0.4752)  2 Li 2.43-2.68, 4 P 2.57
P (0.5000, 0.5000, 0.3433)  2 Au 2.51-2.60, 4 P 2.57
Au (0.5000, 0.5000, 0.8520)  2 P 2.51-2.60, 4 Li 2.59

Results
formation enthalpy at 0 K	-0.037	eV per atom
N(E_F)	0.65	states/eV/cell
energy above the most stable polymorph in this dataset	0.315	eV/atom


Entry 5:
TaTiNbTc | PBE | optimized geometry

Cell: 6.4288 6.4288 6.4288 Å, 90.00 90.00 90.00°
With the nearest neighbours (Å) after each atom.
Positions (direct):
Ta (0.0000, 0.0000, 0.0000)  4 Tc 2.78, 4 Nb 2.78
Ta (0.0000, 0.5000, 0.5000)  4 Tc 2.78, 4 Nb 2.78
Ta (0.5000, 0.0000, 0.5000)  4 Tc 2.78, 4 Nb 2.78
Ta (0.5000, 0.5000, 0.0000)  4 Tc 2.78, 4 Nb 2.78
Ti (0.0000, 0.0000, 0.5000)  4 Nb 2.78, 4 Tc 2.78
Ti (0.0000, 0.5000, 0.0000)  4 Nb 2.78, 4 Tc 2.78
Ti (0.5000, 0.0000, 0.0000)  4 Nb 2.78, 4 Tc 2.78
Ti (0.5000, 0.5000, 0.5000)  4 Nb 2.78, 4 Tc 2.78
Nb (0.2500, 0.2500, 0.2500)  4 Ta 2.78, 4 Ti 2.78
Nb (0.2500, 0.7500, 0.7500)  4 Ta 2.78, 4 Ti 2.78
Nb (0.7500, 0.2500, 0.7500)  4 Ta 2.78, 4 Ti 2.78
Nb (0.7500, 0.7500, 0.2500)  4 Ta 2.78, 4 Ti 2.78
Tc (0.2500, 0.2500, 0.7500)  4 Ti 2.78, 4 Ta 2.78
Tc (0.2500, 0.7500, 0.2500)  4 Ti 2.78, 4 Ta 2.78
Tc (0.7500, 0.2500, 0.2500)  4 Ti 2.78, 4 Ta 2.78
Tc (0.7500, 0.7500, 0.7500)  4 Ti 2.78, 4 Ta 2.78

Results
formation enthalpy at 0 K	-0.204	eV per atom
N(E_F)	22.68	states/eV/cell
energy above the most stable polymorph in this dataset	0.064	eV/atom


Entry 6:
SrZr2Hg | PBE | optimized geometry

Cell: 6.2791 11.7723 3.2813 Å, 90.00 119.34 90.00°
With the nearest neighbours (Å) after each atom.
Positions (direct):
Sr (0.0000, 0.0000, 0.0000)  4 Hg 3.14-3.24, 2 Sr 3.28, 4 Zr 3.36
Sr (0.5000, 0.5000, 0.0000)  4 Hg 3.14-3.24, 2 Sr 3.28, 4 Zr 3.36
Zr (0.2500, 0.2500, 0.5000)  6 Zr 3.14-3.28, 2 Hg 3.36, 2 Sr 3.36
Zr (0.2500, 0.7500, 0.5000)  6 Zr 3.14-3.28, 2 Hg 3.36, 2 Sr 3.36
Zr (0.7500, 0.2500, 0.5000)  6 Zr 3.14-3.28, 2 Hg 3.36, 2 Sr 3.36
Zr (0.7500, 0.7500, 0.5000)  6 Zr 3.14-3.28, 2 Hg 3.36, 2 Sr 3.36
Hg (0.0000, 0.5000, 0.0000)  4 Sr 3.14-3.24, 2 Hg 3.28, 4 Zr 3.36
Hg (0.5000, 0.0000, 0.0000)  4 Sr 3.14-3.24, 2 Hg 3.28, 4 Zr 3.36

Results
formation enthalpy at 0 K	0.268	eV per atom
N(E_F)	10.06	states/eV/cell


Entry 7:
Pr3DyAg3 | PBE | optimized geometry

Cell: 7.4954 7.4954 7.2163 Å, 90.68 90.68 94.04°
With the nearest neighbours (Å) after each atom.
Positions (direct):
Pr (0.1775, 0.8225, 0.0000)  6 Ag 3.04-3.26
Pr (0.2743, 0.7257, 0.5000)  6 Ag 3.17-3.34
Pr (0.3572, 0.3572, 0.1227)  3 Ag 3.08-3.32, 1 Pr 3.44
Pr (0.6428, 0.6428, 0.8773)  3 Ag 3.08-3.32, 1 Pr 3.44
Pr (0.7257, 0.2743, 0.5000)  6 Ag 3.17-3.34
Pr (0.8225, 0.1775, 0.0000)  6 Ag 3.04-3.26
Dy (0.2496, 0.2496, 0.6337)  3 Ag 2.89-2.93
Dy (0.7504, 0.7504, 0.3663)  3 Ag 2.89-2.93
Ag (0.0085, 0.5110, 0.7697)  1 Dy 2.93, 5 Pr 3.04-3.27
Ag (0.0667, 0.0667, 0.3231)  1 Dy 2.89, 1 Ag 2.92, 2 Pr 3.10
Ag (0.4890, 0.9915, 0.2303)  1 Dy 2.93, 5 Pr 3.04-3.27
Ag (0.5110, 0.0085, 0.7697)  1 Dy 2.93, 5 Pr 3.04-3.27
Ag (0.9333, 0.9333, 0.6769)  1 Dy 2.89, 1 Ag 2.92, 2 Pr 3.10
Ag (0.9915, 0.4890, 0.2303)  1 Dy 2.93, 5 Pr 3.04-3.27

Results
formation enthalpy at 0 K	-0.113	eV per atom
N(E_F)	12.30	states/eV/cell


Entry 8:
Mg6ScCd12 | PBE | optimized geometry

Cell: 8.2703 8.2703 8.2703 Å, 110.67 110.67 110.67°
With the nearest neighbours (Å) after each atom.
Positions (direct):
Mg (0.0582, 0.3623, 0.5718)  9 Cd 3.04-3.17, 3 Mg 3.19-3.22
Mg (0.3623, 0.5718, 0.0582)  9 Cd 3.04-3.17, 3 Mg 3.19-3.22
Mg (0.4282, 0.9418, 0.6377)  9 Cd 3.04-3.17, 3 Mg 3.19-3.22
Mg (0.5718, 0.0582, 0.3623)  9 Cd 3.04-3.17, 3 Mg 3.19-3.22
Mg (0.6377, 0.4282, 0.9418)  9 Cd 3.04-3.17, 3 Mg 3.19-3.22
Mg (0.9418, 0.6377, 0.4282)  9 Cd 3.04-3.17, 3 Mg 3.19-3.22
Sc (0.0000, 0.0000, 0.0000)  12 Cd 3.15-3.16
Cd (0.1091, 0.7418, 0.1693)  6 Cd 3.07-3.24, 5 Mg 3.11-3.14, 1 Sc 3.15
Cd (0.1693, 0.1091, 0.7418)  6 Cd 3.07-3.24, 5 Mg 3.11-3.14, 1 Sc 3.15
Cd (0.2034, 0.4728, 0.3136)  4 Mg 3.04-3.17, 7 Cd 3.07-3.22, 1 Sc 3.16
Cd (0.2582, 0.8307, 0.8909)  6 Cd 3.07-3.24, 5 Mg 3.11-3.14, 1 Sc 3.15
Cd (0.3136, 0.2034, 0.4728)  4 Mg 3.04-3.17, 7 Cd 3.07-3.22, 1 Sc 3.16
Cd (0.4728, 0.3136, 0.2034)  4 Mg 3.04-3.17, 7 Cd 3.07-3.22, 1 Sc 3.16
Cd (0.5272, 0.6864, 0.7966)  4 Mg 3.04-3.17, 7 Cd 3.07-3.22, 1 Sc 3.16
Cd (0.6864, 0.7966, 0.5272)  4 Mg 3.04-3.17, 7 Cd 3.07-3.22, 1 Sc 3.16
Cd (0.7418, 0.1693, 0.1091)  6 Cd 3.07-3.24, 5 Mg 3.11-3.14, 1 Sc 3.15
Cd (0.7966, 0.5272, 0.6864)  4 Mg 3.04-3.17, 7 Cd 3.07-3.22, 1 Sc 3.16
Cd (0.8307, 0.8909, 0.2582)  6 Cd 3.07-3.24, 5 Mg 3.11-3.14, 1 Sc 3.15
Cd (0.8909, 0.2582, 0.8307)  6 Cd 3.07-3.24, 5 Mg 3.11-3.14, 1 Sc 3.15

Results
formation enthalpy at 0 K	-0.096	eV per atom
N(E_F)	7.06	states/eV/cell